1.
A relaxed structure of CdTe4P. Source: Alexandria, functional GGA-PBE.

Structure (CIF):
```
data_CdTe4P
_cell_length_a 6.267
_cell_length_b 6.267
_cell_length_c 6.267
_cell_angle_alpha 60.00
_cell_angle_beta 60.00
_cell_angle_gamma 60.00
_space_group_name_H-M_alt 'P 1'
_space_group_IT_number 1
loop_
_space_group_symop_operation_xyz
'x,y,z'
loop_
_atom_site_label
_atom_site_type_symbol
_atom_site_fract_x
_atom_site_fract_y
_atom_site_fract_z
Cd1 Cd 0.000 0.000 0.000
Te1 Te 0.376 0.376 0.376
Te2 Te 0.376 0.376 0.873
Te3 Te 0.376 0.873 0.376
Te4 Te 0.873 0.376 0.376
P1 P 0.750 0.750 0.750
```

Computed properties:
The calculated density is 6.2 Mg/m³. The calculation puts the raw formation energy at 0.728 eV per atom. The density of states at the Fermi level comes out at 3.82 states/eV/f.u.


2.
A relaxed structure of BaY2Cd2. Source: Alexandria, functional GGA-PBE.

Structure (CIF):
```
data_BaY2Cd2
_cell_length_a 5.658
_cell_length_b 5.658
_cell_length_c 11.530
_cell_angle_alpha 90.00
_cell_angle_beta 90.00
_cell_angle_gamma 90.00
_space_group_name_H-M_alt 'P 1'
_space_group_IT_number 1
loop_
_space_group_symop_operation_xyz
'x,y,z'
loop_
_atom_site_label
_atom_site_type_symbol
_atom_site_fract_x
_atom_site_fract_y
_atom_site_fract_z
Ba1 Ba 0.000 0.000 0.000
Ba2 Ba 0.500 0.500 0.500
Y1 Y 0.000 0.000 0.348
Y2 Y 0.000 0.000 0.652
Y3 Y 0.500 0.500 0.152
Y4 Y 0.500 0.500 0.848
Cd1 Cd 0.000 0.500 0.250
Cd2 Cd 0.000 0.500 0.750
Cd3 Cd 0.500 0.000 0.250
Cd4 Cd 0.500 0.000 0.750
```

Computed properties:
The calculated density is 4.9 Mg/m³. The density of states at the Fermi level comes out at 7.92 states/eV/f.u. The energy above the most stable polymorph in this dataset is 0.213 eV per atom. The calculation puts the formation enthalpy at 0 K at 0.05 eV/atom.


3.
A relaxed structure of HfZnCd2Co. Source: Alexandria, functional GGA-PBE.

Structure (CIF):
```
data_HfZnCd2Co
_cell_length_a 4.950
_cell_length_b 4.950
_cell_length_c 4.542
_cell_angle_alpha 90.00
_cell_angle_beta 90.00
_cell_angle_gamma 90.00
_space_group_name_H-M_alt 'P 1'
_space_group_IT_number 1
loop_
_space_group_symop_operation_xyz
'x,y,z'
loop_
_atom_site_label
_atom_site_type_symbol
_atom_site_fract_x
_atom_site_fract_y
_atom_site_fract_z
Hf1 Hf 0.000 0.000 0.000
Zn1 Zn 0.500 0.500 0.000
Cd1 Cd 0.000 0.500 0.500
Cd2 Cd 0.500 0.000 0.500
Co1 Co 0.000 0.000 0.500
```

Computed properties:
The calculated density is 7.9 Mg/m³. The density of states at the Fermi level comes out at 2.69 states/eV/f.u. The calculation puts the formation enthalpy at 0 K at 0.36 eV/atom.